# 1
Density functional theory data (PBE-GGA) for Ba2GeAsAu6 after structural relaxation.

abc: 5.8383 7.2172 7.3007
angles: 76.42 66.65 66.23
Last column: nearest neighbours and their distance in Å.
Fractional coordinates of all 10 atoms:
Ba1 0.2425 0.2220 0.2970  7 Au 3.32-3.58
Ba2 0.7575 0.7780 0.7030  7 Au 3.32-3.58
Ge1 0.0000 0.0000 0.0000  6 Au 2.62-2.73
As1 0.5000 0.5000 0.5000  6 Au 2.74-2.77
Au1 0.2469 0.2465 0.7659  1 Ge 2.62, 1 As 2.75, 1 Au 2.88
Au2 0.2472 0.6117 0.8892  1 Ge 2.73, 1 As 2.77, 4 Au 2.96-3.00
Au3 0.2594 0.7536 0.2349  1 Ge 2.62, 1 As 2.74, 1 Au 2.88
Au4 0.7406 0.2464 0.7651  1 Ge 2.62, 1 As 2.74, 1 Au 2.88
Au5 0.7528 0.3883 0.1108  1 Ge 2.73, 1 As 2.77, 4 Au 2.96-3.00
Au6 0.7531 0.7535 0.2341  1 Ge 2.62, 1 As 2.75, 1 Au 2.88

Output
V, Å³/atom: 25.74
Total magnetic moment, μB per atom: 0.0000
Energy, eV/atom: -3.72
ΔH_f (0 K), meV per atom: -442
Crystal system: triclinic
Density, g/cm3: 10.3



# 2
Density functional theory data (PBE-GGA) for Pm3Cd2Pt after structural relaxation.

abc: 8.6236 8.6236 3.8285
angles: 90.00 90.00 142.81
Last column: nearest neighbours and their distance in Å.
Fractional coordinates of all 6 atoms:
Pm1 0.0000 0.0000 0.0000  2 Pt 2.75
Pm2 0.3625 0.6375 0.5000  2 Pt 2.95
Pm3 0.6375 0.3625 0.5000  2 Pt 2.95
Cd1 0.1971 0.8029 0.0000  7 Pm 3.22-3.49, 2 Cd 3.25
Cd2 0.8029 0.1971 0.0000  7 Pm 3.22-3.49, 2 Cd 3.25
Pt1 0.5000 0.5000 0.0000  6 Pm 2.75-2.95

Output
V, Å³/atom: 28.68
Total magnetic moment, μB per atom: 0.0000
Energy, eV/atom: -4.19
Polymorph energy (0 for the lowest one), eV/atom: 0.055
ΔH_f (0 K), meV per atom: -498
Crystal system: orthorhombic
Density, g/cm3: 8.2